Entry 1:
# TbSm2Sb2Te2 | Alexandria | PBE | relaxed
data_TbSm2Sb2Te2
_chemical_formula_sum 'Tb2 Sm4 Sb4 Te4'
_symmetry_space_group_name_H-M 'I 4/m m m'
_symmetry_Int_Tables_number 139
_symmetry_space_group_name_Hall '-I 4 2'
_cell_length_a 5.750
_cell_length_b 5.750
_cell_length_c 15.457
_cell_angle_alpha 90.00
_cell_angle_beta 90.00
_cell_angle_gamma 90.00
loop_
_atom_site_label
_atom_site_type_symbol
_atom_site_fract_x
_atom_site_fract_y
_atom_site_fract_z
Tb1 Tb 0.000 0.000 0.000
Sm1 Sm 0.000 0.000 0.387
Sb1 Sb 0.000 0.500 0.000
Te1 Te 0.000 0.000 0.196
# M_tot, μB per formula unit: 0.00
# E_form (uncorrected), eV per atom: -0.733

Entry 2:
# K2SrRu | Alexandria | PBE | relaxed
data_K2SrRu
_chemical_formula_sum 'K4 Sr2 Ru2'
_symmetry_space_group_name_H-M 'C 1 2/m 1'
_symmetry_Int_Tables_number 12
_cell_length_a 6.430
_cell_length_b 13.218
_cell_length_c 3.983
_cell_angle_alpha 90.00
_cell_angle_beta 123.83
_cell_angle_gamma 90.00
loop_
_symmetry_equiv_pos_as_xyz
'x,y,z'
'-x,-y,-z'
'-x,y,-z'
'x,-y,z'
'x+1/2,y+1/2,z'
'-x+1/2,-y+1/2,-z'
'-x+1/2,y+1/2,-z'
'x+1/2,-y+1/2,z'
loop_
_atom_site_label
_atom_site_type_symbol
_atom_site_fract_x
_atom_site_fract_y
_atom_site_fract_z
K1 K 0.250 0.250 0.000
Sr1 Sr 0.000 0.000 0.500
Ru1 Ru 0.000 0.500 0.500
# Formation energy, meV per atom: 951
# Polymorph energy (0 for the lowest one), meV per atom: 311
# M_tot, μB per formula unit: 0.97

Entry 3:
# ErCoPt | Alexandria | PBE | relaxed
data_ErCoPt
_chemical_formula_sum 'Er4 Co4 Pt4'
_symmetry_space_group_name_H-M 'C 1 2/m 1'
_symmetry_Int_Tables_number 12
_cell_length_a 9.353
_cell_length_b 5.535
_cell_length_c 4.545
_cell_angle_alpha 90.00
_cell_angle_beta 118.85
_cell_angle_gamma 90.00
loop_
_symmetry_equiv_pos_as_xyz
'x,y,z'
'-x,-y,-z'
'-x,y,-z'
'x,-y,z'
'x+1/2,y+1/2,z'
'-x+1/2,-y+1/2,-z'
'-x+1/2,y+1/2,-z'
'x+1/2,-y+1/2,z'
loop_
_atom_site_label
_atom_site_type_symbol
_atom_site_fract_x
_atom_site_fract_y
_atom_site_fract_z
Er1 Er 0.127 0.000 0.377
Co1 Co 0.044 0.500 0.293
Pt1 Pt 0.250 0.250 0.000
# Formation energy, meV per atom: -452
# M_tot, μB per formula unit: 1.11

Entry 4:
# BaCaRu2 | Alexandria | PBE | relaxed
data_BaCaRu2
_chemical_formula_sum 'Ba2 Ca2 Ru4'
_symmetry_space_group_name_H-M 'I m m m'
_symmetry_Int_Tables_number 71
_symmetry_space_group_name_Hall '-I 2 2'
_cell_length_a 3.568
_cell_length_b 5.262
_cell_length_c 9.339
_cell_angle_alpha 90.00
_cell_angle_beta 90.00
_cell_angle_gamma 90.00
loop_
_atom_site_label
_atom_site_type_symbol
_atom_site_fract_x
_atom_site_fract_y
_atom_site_fract_z
Ba1 Ba 0.000 0.000 0.000
Ca1 Ca 0.000 0.000 0.500
Ru1 Ru 0.000 0.500 0.251
# Formation energy, meV per atom: 881
# Polymorph energy (0 for the lowest one), meV per atom: 718
# M_tot, μB per formula unit: 0.09

Entry 5:
# Ag2CIBr | Alexandria | PBE | relaxed
data_Ag2CIBr
_chemical_formula_sum 'Ag2 C1 I1 Br1'
_symmetry_space_group_name_H-M 'P 4/m m m'
_symmetry_Int_Tables_number 123
_symmetry_space_group_name_Hall '-P 4 2'
_cell_length_a 5.048
_cell_length_b 5.048
_cell_length_c 4.221
_cell_angle_alpha 90.00
_cell_angle_beta 90.00
_cell_angle_gamma 90.00
loop_
_atom_site_label
_atom_site_type_symbol
_atom_site_fract_x
_atom_site_fract_y
_atom_site_fract_z
Ag1 Ag 0.000 0.500 0.000
C1 C 0.000 0.000 0.000
I1 I 0.500 0.500 0.500
Br1 Br 0.000 0.000 0.500
# M_tot, μB per formula unit: 0.00
# E_form (uncorrected), eV per atom: 1.049

Entry 6:
# KNbAsP2 | Alexandria | PBE | relaxed
data_KNbAsP2
_chemical_formula_sum 'K1 Nb1 As1 P2'
_symmetry_space_group_name_H-M 'P 4/m m m'
_symmetry_Int_Tables_number 123
_symmetry_space_group_name_Hall '-P 4 2'
_cell_length_a 4.914
_cell_length_b 4.914
_cell_length_c 5.077
_cell_angle_alpha 90.00
_cell_angle_beta 90.00
_cell_angle_gamma 90.00
loop_
_atom_site_label
_atom_site_type_symbol
_atom_site_fract_x
_atom_site_fract_y
_atom_site_fract_z
K1 K 0.000 0.000 0.000
Nb1 Nb 0.500 0.500 0.500
As1 As 0.500 0.500 0.000
P1 P 0.000 0.500 0.500
# Formation energy, meV per atom: -109
# M_tot, μB per formula unit: 0.00

Entry 7:
# CeUCu2O8 | Alexandria | PBE | relaxed
data_CeUCu2O8
_chemical_formula_sum 'Ce2 U2 Cu4 O16'
_symmetry_space_group_name_H-M 'I -4 m 2'
_symmetry_Int_Tables_number 119
_symmetry_space_group_name_Hall 'I -4 -2'
_cell_length_a 6.847
_cell_length_b 6.847
_cell_length_c 6.825
_cell_angle_alpha 90.00
_cell_angle_beta 90.00
_cell_angle_gamma 90.00
loop_
_atom_site_label
_atom_site_type_symbol
_atom_site_fract_x
_atom_site_fract_y
_atom_site_fract_z
Ce1 Ce 0.000 0.000 0.000
U1 U 0.000 0.500 0.250
Cu1 Cu 0.000 0.000 0.500
Cu2 Cu 0.000 0.500 0.750
O1 O 0.000 0.200 0.307
O2 O 0.000 0.321 0.954
# M_tot, μB per formula unit: 3.32
# E_form (uncorrected), eV per atom: -1.870

Entry 8:
# CaCr2Tc | Alexandria | PBE | relaxed
data_CaCr2Tc
_chemical_formula_sum 'Ca3 Cr6 Tc3'
_symmetry_space_group_name_H-M 'R -3 m'
_symmetry_Int_Tables_number 166
_symmetry_space_group_name_Hall '-R 3 2"'
_cell_length_a 2.9787
_cell_length_b 2.9787
_cell_length_c 26.1741
_cell_angle_alpha 90.00
_cell_angle_beta 90.00
_cell_angle_gamma 120.00
loop_
_atom_site_label
_atom_site_type_symbol
_atom_site_fract_x
_atom_site_fract_y
_atom_site_fract_z
Ca1 Ca 0.0000 0.0000 0.0000
Cr1 Cr 0.0000 0.0000 0.2341
Tc1 Tc 0.0000 0.0000 0.5000
# Formation energy, meV per atom: 819
# Polymorph energy (0 for the lowest one), meV per atom: 361
# M_tot, μB per formula unit: 0.92

Entry 9:
# AcGa2Ru2C | Alexandria | PBE | relaxed
data_AcGa2Ru2C
_chemical_formula_sum 'Ac1 Ga2 Ru2 C1'
_symmetry_space_group_name_H-M 'P 4/m m m'
_symmetry_Int_Tables_number 123
_symmetry_space_group_name_Hall '-P 4 2'
_cell_length_a 4.175
_cell_length_b 4.175
_cell_length_c 5.861
_cell_angle_alpha 90.00
_cell_angle_beta 90.00
_cell_angle_gamma 90.00
loop_
_atom_site_label
_atom_site_type_symbol
_atom_site_fract_x
_atom_site_fract_y
_atom_site_fract_z
Ac1 Ac 0.000 0.000 0.000
Ga1 Ga 0.500 0.500 0.231
Ru1 Ru 0.000 0.500 0.500
C1 C 0.000 0.000 0.500
# Formation energy, meV per atom: -355
# M_tot, μB per formula unit: 0.00

Entry 10:
# Nb2BiSe | Alexandria | PBE | relaxed
data_Nb2BiSe
_chemical_formula_sum 'Nb8 Bi4 Se4'
_symmetry_space_group_name_H-M 'I -4 2 d'
_symmetry_Int_Tables_number 122
_symmetry_space_group_name_Hall 'I -4 2bw'
_cell_length_a 4.867
_cell_length_b 4.867
_cell_length_c 16.948
_cell_angle_alpha 90.00
_cell_angle_beta 90.00
_cell_angle_gamma 90.00
loop_
_atom_site_label
_atom_site_type_symbol
_atom_site_fract_x
_atom_site_fract_y
_atom_site_fract_z
Nb1 Nb 0.159 0.250 0.125
Bi1 Bi 0.000 0.000 0.500
Se1 Se 0.000 0.000 0.000
# Polymorph energy (0 for the lowest one), meV per atom: 353
# M_tot, μB per formula unit: 0.00
# E_form (uncorrected), eV per atom: 0.440

Entry 11:
# PtWNCl2 | Alexandria | PBE | relaxed
data_PtWNCl2
_chemical_formula_sum 'Pt1 W1 N1 Cl2'
_symmetry_space_group_name_H-M 'P 4/m m m'
_symmetry_Int_Tables_number 123
_symmetry_space_group_name_Hall '-P 4 2'
_cell_length_a 5.291
_cell_length_b 5.291
_cell_length_c 3.650
_cell_angle_alpha 90.00
_cell_angle_beta 90.00
_cell_angle_gamma 90.00
loop_
_atom_site_label
_atom_site_type_symbol
_atom_site_fract_x
_atom_site_fract_y
_atom_site_fract_z
Pt1 Pt 0.000 0.000 0.000
W1 W 0.500 0.500 0.500
N1 N 0.000 0.000 0.500
Cl1 Cl 0.000 0.500 0.000
# M_tot, μB per formula unit: 4.44
# E_form (uncorrected), eV per atom: 1.422

Entry 12:
# PmPaHg2 | Alexandria | PBE | relaxed
data_PmPaHg2
_chemical_formula_sum 'Pm1 Pa1 Hg2'
_symmetry_space_group_name_H-M 'P 4/m m m'
_symmetry_Int_Tables_number 123
_symmetry_space_group_name_Hall '-P 4 2'
_cell_length_a 5.642
_cell_length_b 5.642
_cell_length_c 3.322
_cell_angle_alpha 90.00
_cell_angle_beta 90.00
_cell_angle_gamma 90.00
loop_
_atom_site_label
_atom_site_type_symbol
_atom_site_fract_x
_atom_site_fract_y
_atom_site_fract_z
Pm1 Pm 0.000 0.000 0.000
Pa1 Pa 0.500 0.500 0.000
Hg1 Hg 0.000 0.500 0.500
# Formation energy, meV per atom: -92
# Polymorph energy (0 for the lowest one), meV per atom: 54
# M_tot, μB per formula unit: 1.80